The following is a PBE calculation of a geometry-optimized ThAlZn2Ni4 structure, from Alexandria via LeMat-Bulk.

Values from the calculation:
* energy relative to the elements: -395 meV per atom
* calculated total energy: -4.999 eV per atom

Lattice parameters (Å, degrees): 4.0706 4.0706 8.5987 76.31 76.31 60.00
Closest atoms and distances in Å follow each position.
Fractional coordinates of all 8 atoms:
Th 0.0000 0.0000 0.0000  6 Ni 2.92
Al 0.5000 0.5000 0.5000  8 Ni 2.41-2.50
Zn 0.7637 0.7637 0.7089  7 Ni 2.45-2.59
Zn 0.2363 0.2363 0.2911  7 Ni 2.45-2.59
Ni 0.4030 0.4030 0.7909  1 Al 2.41, 3 Zn 2.45
Ni 0.8681 0.8681 0.3958  3 Al 2.50, 4 Zn 2.50-2.59
Ni 0.1319 0.1319 0.6042  3 Al 2.50, 4 Zn 2.50-2.59
Ni 0.5970 0.5970 0.2091  1 Al 2.41, 3 Zn 2.45